# 1
First-principles (GGA-PBE) data for SrH6C2O6 after structural relaxation, as listed in Alexandria.

Results
calculated total energy = -5.99 eV/atom
symmetry = P2_12_12_1
density of states at the Fermi level = 0.00 states/eV per atom

abc: 7.215 7.450 12.143
angles: 90.00 90.00 90.00
Positions (direct):
Sr: 0.202 0.243 0.429
Sr: 0.298 0.757 0.929
Sr: 0.702 0.257 0.571
Sr: 0.798 0.743 0.071
H: 0.016 0.455 0.918
H: 0.055 0.704 0.433
H: 0.111 0.065 0.664
H: 0.118 0.952 0.261
H: 0.142 0.482 0.692
H: 0.203 0.115 0.832
H: 0.297 0.885 0.332
H: 0.358 0.518 0.192
H: 0.382 0.048 0.761
H: 0.389 0.935 0.164
H: 0.445 0.296 0.933
H: 0.484 0.545 0.418
H: 0.516 0.045 0.082
H: 0.555 0.796 0.567
H: 0.611 0.435 0.336
H: 0.618 0.548 0.739
H: 0.642 0.018 0.308
H: 0.703 0.385 0.168
H: 0.797 0.615 0.668
H: 0.858 0.982 0.808
H: 0.882 0.452 0.239
H: 0.889 0.565 0.836
H: 0.945 0.204 0.067
H: 0.984 0.955 0.582
C: 0.028 0.142 0.000
C: 0.205 0.523 0.186
C: 0.295 0.477 0.686
C: 0.472 0.858 0.500
C: 0.528 0.358 0.000
C: 0.705 0.977 0.814
C: 0.795 0.023 0.314
C: 0.972 0.642 0.500
O: 0.029 0.080 0.599
O: 0.040 0.971 0.000
O: 0.101 0.245 0.929
O: 0.115 0.433 0.258
O: 0.135 0.618 0.110
O: 0.249 0.020 0.780
O: 0.251 0.980 0.280
O: 0.365 0.382 0.610
O: 0.385 0.567 0.758
O: 0.399 0.755 0.429
O: 0.460 0.029 0.500
O: 0.471 0.920 0.099
O: 0.529 0.420 0.401
O: 0.540 0.529 0.000
O: 0.601 0.255 0.071
O: 0.615 0.067 0.742
O: 0.635 0.882 0.890
O: 0.749 0.480 0.220
O: 0.751 0.520 0.720
O: 0.865 0.118 0.390
O: 0.885 0.933 0.242
O: 0.899 0.745 0.571
O: 0.960 0.471 0.500
O: 0.971 0.580 0.901


# 2
First-principles (GGA-PBE) data for SrH3C3O7 after structural relaxation, as listed in Alexandria.

Results
calculated total energy = -6.75 eV/atom
symmetry = P2_1/c
density of states at the Fermi level = 0.00 states/eV per atom

abc: 5.780 17.152 8.083
angles: 90.00 127.34 90.00
Positions (direct):
Sr: 0.141 0.081 0.378
Sr: 0.141 0.419 0.878
Sr: 0.859 0.581 0.122
Sr: 0.859 0.919 0.622
H: 0.180 0.604 0.869
H: 0.180 0.896 0.369
H: 0.253 0.568 0.719
H: 0.253 0.932 0.219
H: 0.360 0.746 0.354
H: 0.360 0.754 0.854
H: 0.640 0.246 0.146
H: 0.640 0.254 0.646
H: 0.747 0.068 0.781
H: 0.747 0.432 0.281
H: 0.820 0.104 0.631
H: 0.820 0.396 0.131
C: 0.052 0.237 0.636
C: 0.052 0.263 0.136
C: 0.309 0.222 0.157
C: 0.309 0.278 0.657
C: 0.490 0.518 0.585
C: 0.490 0.982 0.085
C: 0.510 0.018 0.915
C: 0.510 0.482 0.415
C: 0.691 0.722 0.343
C: 0.691 0.778 0.843
C: 0.948 0.737 0.864
C: 0.948 0.763 0.364
O: 0.003 0.167 0.581
O: 0.003 0.333 0.081
O: 0.084 0.720 0.321
O: 0.084 0.780 0.821
O: 0.258 0.555 0.518
O: 0.258 0.945 0.018
O: 0.292 0.563 0.858
O: 0.292 0.937 0.358
O: 0.294 0.008 0.726
O: 0.294 0.492 0.226
O: 0.364 0.153 0.205
O: 0.364 0.347 0.705
O: 0.455 0.230 0.623
O: 0.455 0.270 0.123
O: 0.545 0.730 0.877
O: 0.545 0.770 0.377
O: 0.636 0.653 0.295
O: 0.636 0.847 0.795
O: 0.706 0.508 0.774
O: 0.706 0.992 0.274
O: 0.708 0.063 0.642
O: 0.708 0.437 0.142
O: 0.742 0.055 0.982
O: 0.742 0.445 0.482
O: 0.916 0.220 0.179
O: 0.916 0.280 0.679
O: 0.997 0.667 0.919
O: 0.997 0.833 0.419


# 3
First-principles (GGA-PBE) data for TbH7C4O11 after structural relaxation, as listed in Alexandria.

Results
calculated total energy = -6.59 eV/atom
symmetry = P4_2/n
density of states at the Fermi level = 0.00 states/eV per atom

abc: 8.836 8.836 12.780
angles: 90.00 90.00 90.00
Positions (direct):
Tb: 0.250 0.750 0.210
Tb: 0.250 0.750 0.710
Tb: 0.750 0.250 0.290
Tb: 0.750 0.250 0.790
H: 0.055 0.261 0.078
H: 0.071 0.179 0.963
H: 0.161 0.743 0.474
H: 0.179 0.429 0.537
H: 0.239 0.055 0.422
H: 0.243 0.839 0.974
H: 0.250 0.250 0.028
H: 0.250 0.250 0.472
H: 0.257 0.661 0.974
H: 0.261 0.445 0.422
H: 0.321 0.071 0.537
H: 0.339 0.757 0.474
H: 0.429 0.321 0.963
H: 0.445 0.239 0.078
H: 0.555 0.761 0.922
H: 0.571 0.679 0.037
H: 0.661 0.243 0.526
H: 0.679 0.929 0.463
H: 0.739 0.555 0.578
H: 0.743 0.339 0.026
H: 0.750 0.750 0.528
H: 0.750 0.750 0.972
H: 0.757 0.161 0.026
H: 0.761 0.945 0.578
H: 0.821 0.571 0.463
H: 0.839 0.257 0.526
H: 0.929 0.821 0.037
H: 0.945 0.739 0.922
C: 0.024 0.454 0.696
C: 0.024 0.467 0.201
C: 0.033 0.024 0.299
C: 0.046 0.024 0.804
C: 0.454 0.476 0.804
C: 0.467 0.476 0.299
C: 0.476 0.033 0.201
C: 0.476 0.046 0.696
C: 0.524 0.954 0.304
C: 0.524 0.967 0.799
C: 0.533 0.524 0.701
C: 0.546 0.524 0.196
C: 0.954 0.976 0.196
C: 0.967 0.976 0.701
C: 0.976 0.533 0.799
C: 0.976 0.546 0.304
O: 0.013 0.866 0.147
O: 0.030 0.874 0.647
O: 0.042 0.657 0.821
O: 0.050 0.662 0.331
O: 0.123 0.201 0.032
O: 0.126 0.530 0.147
O: 0.134 0.513 0.647
O: 0.157 0.958 0.321
O: 0.162 0.950 0.831
O: 0.201 0.377 0.468
O: 0.250 0.750 0.019
O: 0.250 0.750 0.519
O: 0.299 0.123 0.468
O: 0.338 0.550 0.831
O: 0.343 0.542 0.321
O: 0.366 0.987 0.647
O: 0.374 0.970 0.147
O: 0.377 0.299 0.032
O: 0.450 0.838 0.331
O: 0.458 0.843 0.821
O: 0.470 0.626 0.647
O: 0.487 0.634 0.147
O: 0.513 0.366 0.853
O: 0.530 0.374 0.353
O: 0.542 0.157 0.179
O: 0.550 0.162 0.669
O: 0.623 0.701 0.968
O: 0.626 0.030 0.853
O: 0.634 0.013 0.353
O: 0.657 0.458 0.679
O: 0.662 0.450 0.169
O: 0.701 0.877 0.532
O: 0.750 0.250 0.481
O: 0.750 0.250 0.981
O: 0.799 0.623 0.532
O: 0.838 0.050 0.169
O: 0.843 0.042 0.679
O: 0.866 0.487 0.353
O: 0.874 0.470 0.853
O: 0.877 0.799 0.968
O: 0.950 0.338 0.669
O: 0.958 0.343 0.179
O: 0.970 0.126 0.353
O: 0.987 0.134 0.853


# 4
First-principles (GGA-PBE) data for Tb4HC2O after structural relaxation, as listed in Alexandria.

Results
calculated total energy = -6.72 eV/atom
symmetry = P2/m
density of states at the Fermi level = 0.36 states/eV per atom

abc: 6.101 3.582 6.219
angles: 90.00 109.37 90.00
Positions (direct):
Tb: 0.235 0.000 0.235
Tb: 0.237 0.500 0.752
Tb: 0.763 0.500 0.248
Tb: 0.765 0.000 0.765
H: 0.500 0.500 0.500
C: 0.000 0.000 0.500
C: 0.000 0.500 0.000
O: 0.500 0.000 0.000


# 5
First-principles (GGA-PBE) data for Tb6H3C2O after structural relaxation, as listed in Alexandria.

Results
calculated total energy = -5.95 eV/atom
symmetry = C2/m
density of states at the Fermi level = 0.37 states/eV per atom

abc: 6.169 6.169 6.103
angles: 99.64 99.64 120.12
Positions (direct):
Tb: 0.089 0.423 0.767
Tb: 0.244 0.244 0.232
Tb: 0.423 0.089 0.767
Tb: 0.577 0.911 0.233
Tb: 0.756 0.756 0.768
Tb: 0.911 0.577 0.233
H: 0.000 0.000 0.500
H: 0.325 0.675 0.500
H: 0.675 0.325 0.500
C: 0.166 0.834 0.000
C: 0.834 0.166 0.000
O: 0.500 0.500 0.000


# 6
First-principles (GGA-PBE) data for TbH3C3O6 after structural relaxation, as listed in Alexandria.

Results
calculated total energy = -6.99 eV/atom
symmetry = R3m
density of states at the Fermi level = 0.00 states/eV per atom

abc: 6.213 6.213 6.213
angles: 115.52 115.52 115.52
Positions (direct):
Tb: 0.000 0.000 0.000
H: 0.365 0.365 0.850
H: 0.365 0.850 0.365
H: 0.850 0.365 0.365
C: 0.149 0.610 0.610
C: 0.610 0.149 0.610
C: 0.610 0.610 0.149
O: 0.281 0.886 0.886
O: 0.339 0.592 0.592
O: 0.592 0.339 0.592
O: 0.592 0.592 0.339
O: 0.886 0.281 0.886
O: 0.886 0.886 0.281


# 7
First-principles (GGA-PBE) data for TbHC3O6 after structural relaxation, as listed in Alexandria.

Results
calculated total energy = -7.62 eV/atom
symmetry = Pnma
density of states at the Fermi level = 0.00 states/eV per atom

abc: 7.116 10.687 6.625
angles: 90.00 90.00 90.00
Positions (direct):
Tb: 0.197 0.250 0.133
Tb: 0.303 0.750 0.633
Tb: 0.697 0.250 0.367
Tb: 0.803 0.750 0.867
H: 0.224 0.750 0.117
H: 0.276 0.250 0.617
H: 0.724 0.750 0.383
H: 0.776 0.250 0.883
C: 0.095 0.520 0.952
C: 0.095 0.980 0.952
C: 0.122 0.250 0.628
C: 0.378 0.750 0.128
C: 0.405 0.020 0.452
C: 0.405 0.480 0.452
C: 0.595 0.520 0.548
C: 0.595 0.980 0.548
C: 0.622 0.250 0.872
C: 0.878 0.750 0.372
C: 0.905 0.020 0.048
C: 0.905 0.480 0.048
O: 0.029 0.250 0.461
O: 0.049 0.250 0.801
O: 0.090 0.623 0.853
O: 0.090 0.877 0.853
O: 0.235 0.049 0.978
O: 0.235 0.451 0.978
O: 0.265 0.549 0.478
O: 0.265 0.951 0.478
O: 0.410 0.123 0.353
O: 0.410 0.377 0.353
O: 0.451 0.750 0.301
O: 0.471 0.750 0.961
O: 0.529 0.250 0.039
O: 0.549 0.250 0.699
O: 0.590 0.623 0.647
O: 0.590 0.877 0.647
O: 0.735 0.049 0.522
O: 0.735 0.451 0.522
O: 0.765 0.549 0.022
O: 0.765 0.951 0.022
O: 0.910 0.123 0.147
O: 0.910 0.377 0.147
O: 0.951 0.750 0.199
O: 0.971 0.750 0.539


# 8
First-principles (GGA-PBE) data for Ti6H3C2O after structural relaxation, as listed in Alexandria.

Results
calculated total energy = -7.70 eV/atom
symmetry = C2/m
density of states at the Fermi level = 0.47 states/eV per atom

abc: 5.304 5.304 5.129
angles: 99.52 99.52 120.24
Positions (direct):
Ti: 0.077 0.410 0.236
Ti: 0.256 0.256 0.762
Ti: 0.410 0.077 0.236
Ti: 0.590 0.923 0.764
Ti: 0.744 0.744 0.238
Ti: 0.923 0.590 0.764
H: 0.168 0.832 0.500
H: 0.500 0.500 0.500
H: 0.832 0.168 0.500
C: 0.334 0.666 0.000
C: 0.666 0.334 0.000
O: 0.000 0.000 0.000


# 9
First-principles (GGA-PBE) data for Ti4H2CO after structural relaxation, as listed in Alexandria.

Results
calculated total energy = -7.64 eV/atom
symmetry = P2/m
density of states at the Fermi level = 0.38 states/eV per atom

abc: 5.174 3.039 5.236
angles: 90.00 109.63 90.00
Positions (direct):
Ti: 0.241 0.000 0.247
Ti: 0.241 0.500 0.748
Ti: 0.759 0.000 0.753
Ti: 0.759 0.500 0.252
H: 0.500 0.000 0.000
H: 0.500 0.500 0.500
C: 0.000 0.500 0.000
O: 0.000 0.000 0.500


# 10
First-principles (GGA-PBE) data for Ti8H4C3O after structural relaxation, as listed in Alexandria.

Results
calculated total energy = -7.71 eV/atom
symmetry = C2/m
density of states at the Fermi level = 0.76 states/eV per atom

abc: 6.026 6.026 5.936
angles: 118.18 118.18 61.03
Positions (direct):
Ti: 0.242 0.743 0.750
Ti: 0.243 0.243 0.249
Ti: 0.257 0.257 0.748
Ti: 0.257 0.758 0.250
Ti: 0.743 0.242 0.750
Ti: 0.743 0.743 0.252
Ti: 0.757 0.757 0.751
Ti: 0.758 0.257 0.250
H: 0.000 0.000 0.500
H: 0.000 0.500 0.000
H: 0.500 0.000 0.000
H: 0.500 0.500 0.500
C: 0.000 0.000 0.000
C: 0.000 0.500 0.500
C: 0.500 0.000 0.500
O: 0.500 0.500 0.000


# 11
First-principles (GGA-PBE) data for Ti6H3CO2 after structural relaxation, as listed in Alexandria.

Results
calculated total energy = -7.58 eV/atom
symmetry = C2/m
density of states at the Fermi level = 0.44 states/eV per atom

abc: 6.691 6.691 6.066
angles: 103.73 103.73 25.91
Positions (direct):
Ti: 0.004 0.004 0.243
Ti: 0.332 0.332 0.909
Ti: 0.337 0.337 0.410
Ti: 0.663 0.663 0.590
Ti: 0.668 0.668 0.091
Ti: 0.996 0.996 0.757
H: 0.165 0.165 0.831
H: 0.500 0.500 0.500
H: 0.835 0.835 0.169
C: 0.500 0.500 0.000
O: 0.170 0.170 0.340
O: 0.830 0.830 0.660


# 12
First-principles (GGA-PBE) data for Ti6H2C3O after structural relaxation, as listed in Alexandria.

Results
calculated total energy = -8.29 eV/atom
symmetry = C2/m
density of states at the Fermi level = 0.51 states/eV per atom

abc: 5.323 5.323 5.195
angles: 99.94 99.94 119.91
Positions (direct):
Ti: 0.089 0.413 0.767
Ti: 0.236 0.236 0.241
Ti: 0.413 0.089 0.767
Ti: 0.587 0.911 0.233
Ti: 0.764 0.764 0.759
Ti: 0.911 0.587 0.233
H: 0.334 0.666 0.500
H: 0.666 0.334 0.500
C: 0.167 0.833 0.000
C: 0.500 0.500 0.000
C: 0.833 0.167 0.000
O: 0.000 0.000 0.500


What did the second record say?
First-principles (GGA-PBE) data for SrH3C3O7 after structural relaxation, as listed in Alexandria.

Results
calculated total energy = -6.75 eV/atom
symmetry = P2_1/c
density of states at the Fermi level = 0.00 states/eV per atom

abc: 5.780 17.152 8.083
angles: 90.00 127.34 90.00
Positions (direct):
Sr: 0.141 0.081 0.378
Sr: 0.141 0.419 0.878
Sr: 0.859 0.581 0.122
Sr: 0.859 0.919 0.622
H: 0.180 0.604 0.869
H: 0.180 0.896 0.369
H: 0.253 0.568 0.719
H: 0.253 0.932 0.219
H: 0.360 0.746 0.354
H: 0.360 0.754 0.854
H: 0.640 0.246 0.146
H: 0.640 0.254 0.646
H: 0.747 0.068 0.781
H: 0.747 0.432 0.281
H: 0.820 0.104 0.631
H: 0.820 0.396 0.131
C: 0.052 0.237 0.636
C: 0.052 0.263 0.136
C: 0.309 0.222 0.157
C: 0.309 0.278 0.657
C: 0.490 0.518 0.585
C: 0.490 0.982 0.085
C: 0.510 0.018 0.915
C: 0.510 0.482 0.415
C: 0.691 0.722 0.343
C: 0.691 0.778 0.843
C: 0.948 0.737 0.864
C: 0.948 0.763 0.364
O: 0.003 0.167 0.581
O: 0.003 0.333 0.081
O: 0.084 0.720 0.321
O: 0.084 0.780 0.821
O: 0.258 0.555 0.518
O: 0.258 0.945 0.018
O: 0.292 0.563 0.858
O: 0.292 0.937 0.358
O: 0.294 0.008 0.726
O: 0.294 0.492 0.226
O: 0.364 0.153 0.205
O: 0.364 0.347 0.705
O: 0.455 0.230 0.623
O: 0.455 0.270 0.123
O: 0.545 0.730 0.877
O: 0.545 0.770 0.377
O: 0.636 0.653 0.295
O: 0.636 0.847 0.795
O: 0.706 0.508 0.774
O: 0.706 0.992 0.274
O: 0.708 0.063 0.642
O: 0.708 0.437 0.142
O: 0.742 0.055 0.982
O: 0.742 0.445 0.482
O: 0.916 0.220 0.179
O: 0.916 0.280 0.679
O: 0.997 0.667 0.919
O: 0.997 0.833 0.419


The highest density of states at the Fermi level belongs to which entry?
Ti8H4C3O


Which formula does entry 2 have?
SrH3C3O7